1.
The following is a PBE calculation of a relaxed structure of RbTl4Cd2Ag, from Alexandria via LeMat-Bulk.

## Properties
N(E_F), states/eV/atom: 0.4319
E, hartree per atom: -0.0693

Unit cell a=5.1474 b=5.1474 c=33.1009 alpha=90.00 beta=90.00 gamma=120.00
Space group R-3m (No. 166, hexagonal axes)
Unique sites:
Rb  0.0000  0.0000  0.0000
Tl  0.0000  0.0000  0.1336
Tl  0.0000  0.0000  0.4059
Cd  0.0000  0.0000  0.2381
Ag  0.0000  0.0000  0.5000

2.
The following is a PBE calculation of a relaxed structure of MnAlSe, from Alexandria via LeMat-Bulk.

## Properties
Uncorrected formation energy, eV per formula unit: -0.29
N(E_F), states/eV/atom: 0.5950
E, hartree per atom: -0.2044

Unit cell a=3.1514 b=3.1514 c=5.6698 alpha=90.00 beta=90.00 gamma=120.00
Space group P3m1 (No. 156)
Unique sites:
Mn  0.0000  0.0000  0.0000
Al  0.3333  0.6667  0.6777
Se  0.6667  0.3333  0.2835

3.
The following is a PBE calculation of a relaxed structure of Sr2CuBr, from Alexandria via LeMat-Bulk.

## Properties
Uncorrected formation energy, eV per formula unit: -2.28
N(E_F), states/eV/atom: 0.3559
E, hartree per atom: -0.1048

Unit cell a=8.180 b=8.180 c=8.651 alpha=90.00 beta=90.00 gamma=90.00
Space group I-42d (No. 122)
Unique sites:
Sr  0.235  0.750  0.125
Cu  0.000  0.000  0.000
Br  0.000  0.000  0.500

4.
The following is a PBE calculation of a relaxed structure of ScCrP2, from Alexandria via LeMat-Bulk.

## Properties
N(E_F), states/eV/atom: 0.8603
E, hartree per atom: -0.2619

Unit cell a=6.100 b=6.100 c=6.100 alpha=90.00 beta=90.00 gamma=90.00
Space group Fm-3m (No. 225)
Unique sites:
Sc  0.000  0.000  0.000
Cr  0.000  0.000  0.500
P  0.250  0.250  0.250